[1]
Material: SrZnTc3
Method: DFT, GGA-PBEsol
State: relaxed

The value obtained for the density of states at the Fermi level is 9.54 states/eV/f.u. The volume comes out at 19.77 Å³/atom. The formation enthalpy at 0 K comes out at 1.589 eV/atom. The calculation puts the energy at -5.855 eV/atom.

The structure belongs to space group Pm-3m (No. 221); the cell edges are 4.624, 4.624 and 4.624 Å and the angles 90.00°, 90.00° and 90.00°. The inequivalent atoms are Sr at (0.000, 0.000, 0.000), Zn at (0.500, 0.500, 0.500) and Tc at (0.000, 0.500, 0.500).

=====

[2]
Material: Sr2ZnTc
Method: DFT, GGA-PBEsol
State: relaxed

The value obtained for the density of states at the Fermi level is 4.21 states/eV/f.u. The volume comes out at 27.72 Å³/atom. The formation enthalpy at 0 K comes out at 0.423 eV/atom. The calculation puts the energy at -3.709 eV/atom.

The structure belongs to space group Amm2 (No. 38); the cell edges are 4.336, 4.540 and 11.264 Å and the angles 90.00°, 90.00° and 90.00°. The inequivalent atoms are Sr at (0.000, 0.000, 0.000), Sr at (0.500, 0.000, 0.285), Zn at (0.500, 0.000, 0.589) and Tc at (0.000, 0.000, 0.693).

=====

[3]
Material: SrZr4Tc
Method: DFT, GGA-PBEsol
State: relaxed

The value obtained for the density of states at the Fermi level is 10.45 states/eV/f.u. The volume comes out at 22.25 Å³/atom. The formation enthalpy at 0 K comes out at 0.745 eV/atom. The calculation puts the energy at -7.500 eV/atom.

The structure belongs to space group F-43m (No. 216); the cell edges are 8.113, 8.113 and 8.113 Å and the angles 90.00°, 90.00° and 90.00°. The inequivalent atoms are Sr at (0.000, 0.000, 0.000), Zr at (0.123, 0.123, 0.377) and Tc at (0.250, 0.250, 0.750).

=====

[4]
Material: Sr2ZrTc
Method: DFT, GGA-PBEsol
State: relaxed

The value obtained for the density of states at the Fermi level is 4.04 states/eV/f.u. The volume comes out at 29.44 Å³/atom. The formation enthalpy at 0 K comes out at 0.483 eV/atom. The calculation puts the energy at -5.526 eV/atom.

The structure belongs to space group R3m (No. 160, hexagonal axes); the cell edges are 3.5758, 3.5758 and 31.9076 Å and the angles 90.00°, 90.00° and 120.00°. The inequivalent atoms are Sr at (0.0000, 0.0000, 0.0000), Sr at (0.0000, 0.0000, 0.2180), Zr at (0.0000, 0.0000, 0.7628) and Tc at (0.0000, 0.0000, 0.4792).

=====

[5]
Material: SrZrTc2
Method: DFT, GGA-PBEsol
State: relaxed

The value obtained for the density of states at the Fermi level is 5.14 states/eV/f.u. The volume comes out at 18.91 Å³/atom. The formation enthalpy at 0 K comes out at 0.700 eV/atom. The calculation puts the energy at -7.666 eV/atom.

The structure belongs to space group Fm-3m (No. 225); the cell edges are 6.714, 6.714 and 6.714 Å and the angles 90.00°, 90.00° and 90.00°. The inequivalent atoms are Sr at (0.000, 0.000, 0.000), Zr at (0.000, 0.000, 0.500) and Tc at (0.250, 0.250, 0.250).

=====

[6]
Material: SrZrTc
Method: DFT, GGA-PBEsol
State: relaxed

The value obtained for the density of states at the Fermi level is 2.81 states/eV/f.u. The volume comes out at 24.40 Å³/atom. The formation enthalpy at 0 K comes out at 0.777 eV/atom. The calculation puts the energy at -6.622 eV/atom.

The structure belongs to space group F-43m (No. 216); the cell edges are 6.640, 6.640 and 6.640 Å and the angles 90.00°, 90.00° and 90.00°. The inequivalent atoms are Sr at (0.000, 0.000, 0.000), Zr at (0.000, 0.000, 0.500) and Tc at (0.250, 0.250, 0.250).